# 1
## YIrOs (PBE)

Data for YIrOs after structural relaxation.

Excess energy over the best structure of this formula in the dataset, meV/atom: 504
Volume, Å³/cell: 54.0
ΔH_f (0 K), kJ per mole of atoms: -4.48
DOS at the Fermi energy, states/eV/f.u.: 1.61
Crystal system: tetragonal

abc: 6.5971 6.5971 6.5971
angles: 154.29 154.29 36.67
Atoms (fractional coordinates):
Y (0.0000, 0.0000, 0.0000)
Ir (0.6873, 0.6873, 0.0000)
Os (0.3156, 0.3156, 0.0000)



# 2
## YIr4Os (PBE)

Data for YIr4Os after structural relaxation.

Volume, Å³/cell: 101.3
ΔH_f (0 K), kJ per mole of atoms: 9.00
DOS at the Fermi energy, states/eV/f.u.: 9.28
Crystal system: cubic

abc: 5.2316 5.2316 5.2316
angles: 60.00 60.00 60.00
Atoms (fractional coordinates):
Y (0.0000, 0.0000, 0.0000)
Ir (0.3756, 0.3756, 0.3756)
Ir (0.3756, 0.3756, 0.8731)
Ir (0.3756, 0.8731, 0.3756)
Ir (0.8731, 0.3756, 0.3756)
Os (0.7500, 0.7500, 0.7500)



# 3
## Y3IrOs (PBE)

Data for Y3IrOs after structural relaxation.

Excess energy over the best structure of this formula in the dataset, meV/atom: 0
Volume, Å³/cell: 142.6
ΔH_f (0 K), kJ per mole of atoms: 34.74
DOS at the Fermi energy, states/eV/f.u.: 2.98
Crystal system: cubic

abc: 5.2240 5.2240 5.2240
angles: 90.00 90.00 90.00
Atoms (fractional coordinates):
Y (0.0000, 0.0000, 0.5000)
Y (0.0000, 0.5000, 0.0000)
Y (0.5000, 0.0000, 0.0000)
Ir (0.5000, 0.5000, 0.5000)
Os (0.0000, 0.0000, 0.0000)



# 4
## YIrOs2 (PBE)

Data for YIrOs2 after structural relaxation.

Excess energy over the best structure of this formula in the dataset, meV/atom: 193
Volume, Å³/cell: 67.3
ΔH_f (0 K), kJ per mole of atoms: 23.27
DOS at the Fermi energy, states/eV/f.u.: 4.24
Crystal system: tetragonal

abc: 5.0652 5.0652 5.0652
angles: 133.46 133.46 67.94
Atoms (fractional coordinates):
Y (0.0000, 0.0000, 0.0000)
Ir (0.5000, 0.5000, 0.0000)
Os (0.2500, 0.7500, 0.5000)
Os (0.7500, 0.2500, 0.5000)



# 5
## YIrOs2 (PBE)

Data for YIrOs2 after structural relaxation.

Excess energy over the best structure of this formula in the dataset, meV/atom: 248
Volume, Å³/cell: 68.6
ΔH_f (0 K), kJ per mole of atoms: 28.53
DOS at the Fermi energy, states/eV/f.u.: 5.75
Crystal system: monoclinic

abc: 2.8865 4.7200 5.1081
angles: 90.00 99.76 90.00
Atoms (fractional coordinates):
Y (0.0000, 0.0000, 0.0000)
Ir (0.5000, 0.0000, 0.5000)
Os (0.3355, 0.5000, 0.7229)
Os (0.6645, 0.5000, 0.2771)



# 6
## YIr3Os (PBE)

Data for YIr3Os after structural relaxation.

Excess energy over the best structure of this formula in the dataset, meV/atom: 1984
Volume, Å³/cell: 110.2
ΔH_f (0 K), kJ per mole of atoms: 268.07
DOS at the Fermi energy, states/eV/f.u.: 12.29
Crystal system: cubic

abc: 4.7940 4.7940 4.7940
angles: 90.00 90.00 90.00
Atoms (fractional coordinates):
Y (0.0000, 0.0000, 0.0000)
Ir (0.0000, 0.0000, 0.5000)
Ir (0.0000, 0.5000, 0.0000)
Ir (0.5000, 0.0000, 0.0000)
Os (0.5000, 0.5000, 0.5000)



# 7
## YIr2Os (PBE)

Data for YIr2Os after structural relaxation.

Excess energy over the best structure of this formula in the dataset, meV/atom: 4
Volume, Å³/cell: 66.9
ΔH_f (0 K), kJ per mole of atoms: -10.09
DOS at the Fermi energy, states/eV/f.u.: 3.85
Crystal system: tetragonal

abc: 4.0933 4.0933 3.9914
angles: 90.00 90.00 90.00
Atoms (fractional coordinates):
Y (0.0000, 0.0000, 0.0000)
Ir (0.0000, 0.5000, 0.5000)
Ir (0.5000, 0.0000, 0.5000)
Os (0.5000, 0.5000, 0.0000)



# 8
## YIrOs2 (PBE)

Data for YIrOs2 after structural relaxation.

Excess energy over the best structure of this formula in the dataset, meV/atom: 211
Volume, Å³/cell: 67.6
ΔH_f (0 K), kJ per mole of atoms: 24.97
DOS at the Fermi energy, states/eV/f.u.: 4.38
Crystal system: tetragonal

abc: 2.8805 2.8805 8.1531
angles: 90.00 90.00 90.00
Atoms (fractional coordinates):
Y (0.0000, 0.0000, 0.0000)
Ir (0.0000, 0.0000, 0.5000)
Os (0.5000, 0.5000, 0.2834)
Os (0.5000, 0.5000, 0.7166)



# 9
## YIrOs2 (PBE)

Data for YIrOs2 after structural relaxation.

Excess energy over the best structure of this formula in the dataset, meV/atom: 46
Volume, Å³/cell: 69.3
ΔH_f (0 K), kJ per mole of atoms: 9.06
DOS at the Fermi energy, states/eV/f.u.: 5.13
Crystal system: orthorhombic

abc: 2.8563 3.8990 6.2256
angles: 90.00 90.00 90.00
Atoms (fractional coordinates):
Y (0.0000, 0.0000, 0.0000)
Ir (0.5000, 0.5000, 0.2696)
Os (0.0000, 0.0000, 0.5104)
Os (0.5000, 0.5000, 0.6860)



# 10
## Y2IrOs (PBE)

Data for Y2IrOs after structural relaxation.

Volume, Å³/cell: 80.2
ΔH_f (0 K), kJ per mole of atoms: -38.57
DOS at the Fermi energy, states/eV/f.u.: 1.99
Crystal system: tetragonal

abc: 4.8489 4.8489 3.4108
angles: 90.00 90.00 90.00
Atoms (fractional coordinates):
Y (0.0000, 0.5000, 0.0000)
Y (0.5000, 0.0000, 0.0000)
Ir (0.0000, 0.0000, 0.5000)
Os (0.5000, 0.5000, 0.5000)



# 11
## YIr2Os (PBE)

Data for YIr2Os after structural relaxation.

Excess energy over the best structure of this formula in the dataset, meV/atom: 17
Volume, Å³/cell: 68.3
ΔH_f (0 K), kJ per mole of atoms: -8.81
DOS at the Fermi energy, states/eV/f.u.: 2.85
Crystal system: monoclinic

abc: 2.8938 4.4869 5.3674
angles: 90.00 101.43 90.00
Atoms (fractional coordinates):
Y (0.0000, 0.0000, 0.0000)
Ir (0.5575, 0.5000, 0.1932)
Ir (0.6335, 0.0000, 0.4981)
Os (0.2320, 0.5000, 0.6248)



# 12
## YIr2Os (PBE)

Data for YIr2Os after structural relaxation.

Excess energy over the best structure of this formula in the dataset, meV/atom: 0
Volume, Å³/cell: 66.1
ΔH_f (0 K), kJ per mole of atoms: -10.48
DOS at the Fermi energy, states/eV/f.u.: 3.33
Crystal system: orthorhombic

abc: 4.8871 4.8871 2.8993
angles: 90.00 90.00 107.33
Atoms (fractional coordinates):
Y (0.0000, 0.0000, 0.0000)
Ir (0.0000, 0.5000, 0.5000)
Ir (0.5000, 0.0000, 0.5000)
Os (0.5000, 0.5000, 0.0000)